Record 1
Th2ZrPdRh5 after structural relaxation, computed with PBE-GGA.

Calculated values
- ΔE_f (meV/atom) = -281
- space-group type = I4/mcm
- V (Å³/atom) = 20.4
- total magnetization (μB/cell) = 0.00

The structure in CIF format:
```
data_Th2ZrPdRh5
_chemical_formula_sum 'Th4 Zr2 Pd2 Rh10'
_cell_length_a 7.921
_cell_length_b 7.921
_cell_length_c 7.921
_cell_angle_alpha 116.63
_cell_angle_beta 116.63
_cell_angle_gamma 95.94
_symmetry_space_group_name_H-M 'P 1'
_symmetry_Int_Tables_number 1
_symmetry_space_group_name_Hall 'P 1'
loop_
_atom_site_label
_atom_site_type_symbol
_atom_site_fract_x
_atom_site_fract_y
_atom_site_fract_z
_atom_site_occupancy
Th1 Th 0.138 0.638 0.777 1
Th2 Th 0.362 0.138 0.500 1
Th3 Th 0.638 0.862 0.500 1
Th4 Th 0.862 0.362 0.223 1
Zr1 Zr 0.250 0.250 0.000 1
Zr2 Zr 0.750 0.750 0.000 1
Pd1 Pd 0.250 0.750 0.500 1
Pd2 Pd 0.750 0.250 0.500 1
Rh1 Rh 0.000 0.000 0.000 1
Rh2 Rh 0.053 0.168 0.500 1
Rh3 Rh 0.168 0.668 0.115 1
Rh4 Rh 0.332 0.447 0.500 1
Rh5 Rh 0.447 0.947 0.115 1
Rh6 Rh 0.500 0.500 0.000 1
Rh7 Rh 0.553 0.053 0.885 1
Rh8 Rh 0.668 0.553 0.500 1
Rh9 Rh 0.832 0.332 0.885 1
Rh10 Rh 0.947 0.832 0.500 1
```

Record 2
Cr2AgS4 after structural relaxation, computed with PBE-GGA.

Calculated values
- ΔE to the lowest computed polymorph (kJ per mole of atoms) = 4.7
- E_form (uncorrected) (eV/atom) = -0.497
- space-group type = P2/m
- V (Å³/atom) = 18.7
- total magnetization (μB/cell) = 5.05

The structure in CIF format:
```
data_Cr2AgS4
_chemical_formula_sum 'Cr2 Ag1 S4'
_cell_length_a 5.933
_cell_length_b 3.472
_cell_length_c 6.384
_cell_angle_alpha 90.00
_cell_angle_beta 94.00
_cell_angle_gamma 90.00
_symmetry_space_group_name_H-M 'P 1'
_symmetry_Int_Tables_number 1
_symmetry_space_group_name_Hall 'P 1'
loop_
_atom_site_label
_atom_site_type_symbol
_atom_site_fract_x
_atom_site_fract_y
_atom_site_fract_z
_atom_site_occupancy
Cr1 Cr 0.000 0.000 0.000 1
Cr2 Cr 0.500 0.500 0.000 1
Ag1 Ag 0.000 0.000 0.500 1
S1 S 0.182 0.500 0.210 1
S2 S 0.323 0.000 0.795 1
S3 S 0.677 0.000 0.205 1
S4 S 0.818 0.500 0.790 1
```

Record 3
Sm2Ni12P3Au after structural relaxation, computed with PBE-GGA.

Calculated values
- ΔE_f (meV/atom) = -7
- space-group type = R-3m
- V (Å³/atom) = 16.0
- total magnetization (μB/cell) = 0.00

The structure in CIF format:
```
data_Sm2Ni12P3Au
_chemical_formula_sum 'Sm2 Ni12 P3 Au1'
_cell_length_a 7.230
_cell_length_b 7.230
_cell_length_c 7.230
_cell_angle_alpha 63.44
_cell_angle_beta 63.44
_cell_angle_gamma 63.44
_symmetry_space_group_name_H-M 'P 1'
_symmetry_Int_Tables_number 1
_symmetry_space_group_name_Hall 'P 1'
loop_
_atom_site_label
_atom_site_type_symbol
_atom_site_fract_x
_atom_site_fract_y
_atom_site_fract_z
_atom_site_occupancy
Sm1 Sm 0.106 0.106 0.106 1
Sm2 Sm 0.894 0.894 0.894 1
Ni1 Ni 0.102 0.634 0.634 1
Ni2 Ni 0.159 0.159 0.603 1
Ni3 Ni 0.159 0.603 0.159 1
Ni4 Ni 0.366 0.366 0.898 1
Ni5 Ni 0.366 0.898 0.366 1
Ni6 Ni 0.397 0.841 0.841 1
Ni7 Ni 0.603 0.159 0.159 1
Ni8 Ni 0.634 0.102 0.634 1
Ni9 Ni 0.634 0.634 0.102 1
Ni10 Ni 0.841 0.397 0.841 1
Ni11 Ni 0.841 0.841 0.397 1
Ni12 Ni 0.898 0.366 0.366 1
P1 P 0.000 0.500 0.500 1
P2 P 0.500 0.000 0.500 1
P3 P 0.500 0.500 0.000 1
Au1 Au 0.500 0.500 0.500 1
```